Material: Cs3PdN4
Method: DFT, PBE
State: optimized geometry

Calculated values
The calculation puts the density of states at the Fermi level at 0.74 states/eV/atom. The value obtained for the raw formation energy is -0.099 eV/atom. As for the calculated total energy: -5.23 eV per atom. The calculated volume is 30.12 A^3/atom. The space-group type is C2/m. The calculation puts the total magnetization at 0.0 μB per cell.

Lattice parameters (Å, degrees): 4.659 6.255 8.929 105.85 105.12 90.00
Fractional coordinates of all 8 atoms:
Cs 0.000 0.500 0.000
Cs 0.178 0.195 0.355
Cs 0.822 0.805 0.645
Pd 0.500 0.000 0.000
N 0.355 0.200 0.710
N 0.645 0.800 0.290
N 0.587 0.874 0.174
N 0.413 0.126 0.826